# 1
{"formula": "GeH4", "functional": "GGA-PBE", "state": "optimized geometry", "cell": [[4.500, 0.000, 0.000], [0.000, 7.450, 0.000], [0.000, 0.000, 7.938]], "species": ["Ge", "Ge", "Ge", "Ge", "H", "H", "H", "H", "H", "H", "H", "H", "H", "H", "H", "H", "H", "H", "H", "H"], "frac_coords": [[0.149, 0.506, 0.858], [0.649, 0.994, 0.142], [0.851, 0.006, 0.642], [0.351, 0.494, 0.358], [0.372, 0.354, 0.830], [0.872, 0.146, 0.170], [0.628, 0.854, 0.670], [0.128, 0.646, 0.330], [0.315, 0.681, 0.896], [0.815, 0.819, 0.104], [0.685, 0.181, 0.604], [0.185, 0.319, 0.396], [0.958, 0.531, 0.700], [0.458, 0.969, 0.300], [0.042, 0.031, 0.800], [0.542, 0.469, 0.200], [0.944, 0.460, 0.006], [0.444, 0.040, 0.994], [0.056, 0.960, 0.494], [0.556, 0.540, 0.506]], "m_tot_mub_per_cell": 0.00, "e_tot_ev_per_fu": -17.62, "dos_ef_per_ev_atom": 0.0000, "sg": "No. 19"}

---

# 2
{"formula": "Nd6HoEr2Sc", "functional": "GGA-PBE", "state": "optimized geometry", "cell": [[9.013, -1.927, -2.000], [0.837, 8.652, -2.012], [0.837, -2.332, 8.571]], "species": ["Nd", "Nd", "Nd", "Nd", "Nd", "Nd", "Nd", "Nd", "Nd", "Nd", "Nd", "Nd", "Ho", "Ho", "Er", "Er", "Er", "Er", "Sc", "Sc"], "frac_coords": [[0.052, 0.119, 0.768], [0.448, 0.232, 0.881], [0.948, 0.881, 0.232], [0.552, 0.768, 0.119], [0.305, 0.008, 0.441], [0.195, 0.559, 0.992], [0.695, 0.992, 0.559], [0.805, 0.441, 0.008], [0.113, 0.709, 0.486], [0.387, 0.514, 0.291], [0.887, 0.291, 0.514], [0.613, 0.486, 0.709], [0.250, 0.973, 0.027], [0.750, 0.027, 0.973], [0.451, 0.795, 0.699], [0.049, 0.301, 0.205], [0.549, 0.205, 0.301], [0.951, 0.699, 0.795], [0.250, 0.420, 0.580], [0.750, 0.580, 0.420]], "m_tot_mub_per_cell": 0.00, "e_form_ev_per_atom": 0.13, "dos_ef_per_ev_atom": 1.4583, "sg": "No. 15"}

---

# 3
{"formula": "GeBiBr", "functional": "GGA-PBE", "state": "optimized geometry", "cell": [[3.972, 0.000, 0.000], [0.000, 7.346, 0.000], [0.000, 0.000, 13.469]], "species": ["Br", "Br", "Br", "Br", "Ge", "Ge", "Ge", "Ge", "Bi", "Bi", "Bi", "Bi"], "frac_coords": [[0.750, 0.138, 0.688], [0.250, 0.638, 0.812], [0.250, 0.862, 0.312], [0.750, 0.362, 0.188], [0.750, 0.122, 0.506], [0.250, 0.622, 0.994], [0.250, 0.878, 0.494], [0.750, 0.378, 0.006], [0.750, 0.593, 0.573], [0.250, 0.093, 0.927], [0.250, 0.407, 0.427], [0.750, 0.907, 0.073]], "m_tot_mub_per_cell": 0.00, "e_tot_ev_per_fu": -10.52, "dos_ef_per_ev_atom": 0.2261, "sg": "No. 62"}

---

# 4
{"formula": "BeNi2Cl", "functional": "GGA-PBE", "state": "optimized geometry", "cell": [[-2.462, -1.330, -0.079], [0.600, -1.254, 2.430], [-2.572, 4.583, 2.999]], "species": ["Ni", "Ni", "Be", "Cl"], "frac_coords": [[0.000, 0.000, 0.048], [0.000, 0.000, 0.452], [0.500, 0.500, 0.250], [0.500, 0.500, 0.750]], "m_tot_mub_per_cell": 0.00, "e_tot_ev_per_fu": -16.71, "dos_ef_per_ev_atom": 1.2063, "sg": "No. 123"}

---

# 5
{"formula": "PmPrCdIn", "functional": "GGA-PBE", "state": "optimized geometry", "cell": [[5.479, 0.000, 0.000], [2.739, 4.745, 0.000], [2.739, 1.582, 4.473]], "species": ["Pr", "Cd", "In", "Pm"], "frac_coords": [[0.500, 0.500, 0.500], [0.250, 0.250, 0.250], [0.750, 0.750, 0.750], [0.000, 0.000, 0.000]], "m_tot_mub_per_cell": 0.00, "e_form_ev_per_atom": -0.41, "dos_ef_per_ev_atom": 1.3168, "sg": "No. 216"}

---

# 6
{"formula": "NaTbCuSe2", "functional": "GGA-PBE", "state": "optimized geometry", "cell": [[4.573, 0.000, 0.000], [0.000, 7.104, 0.398], [0.000, -1.731, 7.745]], "species": ["Na", "Na", "Tb", "Tb", "Cu", "Cu", "Se", "Se", "Se", "Se"], "frac_coords": [[0.155, 0.500, 0.750], [0.845, 0.500, 0.250], [0.492, 0.000, 0.250], [0.508, 0.000, 0.750], [0.000, 0.000, 0.000], [0.000, 0.000, 0.500], [0.687, 0.734, 0.965], [0.687, 0.266, 0.535], [0.313, 0.734, 0.465], [0.313, 0.266, 0.035]], "m_tot_mub_per_cell": 0.00, "e_tot_ev_per_fu": -21.74, "dos_ef_per_ev_atom": 0.4971, "sg": "No. 13"}

---

# 7
{"formula": "TbGeAu", "functional": "GGA-PBE", "state": "optimized geometry", "cell": [[-3.447, 0.038, 1.464], [-0.659, -4.157, -1.446], [1.724, 0.703, 4.042]], "species": ["Tb", "Ge", "Au"], "frac_coords": [[0.663, 0.667, 0.333], [0.189, 0.333, 0.667], [0.149, 0.000, 0.000]], "m_tot_mub_per_cell": 0.00, "e_form_ev_per_atom": -0.80, "dos_ef_per_ev_atom": 0.4233, "sg": "No. 156"}

---

Number 3 is which compound? GeBiBr

---

Please write out number 2 again, unchanged.
{"formula": "Nd6HoEr2Sc", "functional": "GGA-PBE", "state": "optimized geometry", "cell": [[9.013, -1.927, -2.000], [0.837, 8.652, -2.012], [0.837, -2.332, 8.571]], "species": ["Nd", "Nd", "Nd", "Nd", "Nd", "Nd", "Nd", "Nd", "Nd", "Nd", "Nd", "Nd", "Ho", "Ho", "Er", "Er", "Er", "Er", "Sc", "Sc"], "frac_coords": [[0.052, 0.119, 0.768], [0.448, 0.232, 0.881], [0.948, 0.881, 0.232], [0.552, 0.768, 0.119], [0.305, 0.008, 0.441], [0.195, 0.559, 0.992], [0.695, 0.992, 0.559], [0.805, 0.441, 0.008], [0.113, 0.709, 0.486], [0.387, 0.514, 0.291], [0.887, 0.291, 0.514], [0.613, 0.486, 0.709], [0.250, 0.973, 0.027], [0.750, 0.027, 0.973], [0.451, 0.795, 0.699], [0.049, 0.301, 0.205], [0.549, 0.205, 0.301], [0.951, 0.699, 0.795], [0.250, 0.420, 0.580], [0.750, 0.580, 0.420]], "m_tot_mub_per_cell": 0.00, "e_form_ev_per_atom": 0.13, "dos_ef_per_ev_atom": 1.4583, "sg": "No. 15"}